## SrZnCuGe2 (PBE)

Data for SrZnCuGe2 after structural relaxation.

Its uncorrected energy is -3.56 eV per atom.

The space group is I-4m2 (No. 119) and the conventional cell measures 4.2901, 4.2901 and 10.5859 Å, with angles of 90.00, 90.00 and 90.00 degrees. The asymmetric unit holds Sr at (0.0000, 0.0000, 0.0000), Zn at (0.0000, 0.5000, 0.7500), Cu at (0.0000, 0.5000, 0.2500) and Ge at (0.0000, 0.0000, 0.3796).